Below is a relaxed Ti2PSe crystal, with properties calculated at the PBE-GGA level.

Lattice parameters (Å, degrees): 5.645 5.645 11.265 90.00 90.00 90.00
Fractional coordinates of all 16 atoms:
Ti  0.229  0.250  0.125
Ti  0.250  0.729  0.375
Ti  0.250  0.771  0.875
Ti  0.271  0.250  0.625
Ti  0.729  0.750  0.625
Ti  0.750  0.229  0.875
Ti  0.750  0.271  0.375
Ti  0.771  0.750  0.125
P  0.000  0.000  0.000
P  0.000  0.500  0.250
P  0.500  0.000  0.750
P  0.500  0.500  0.500
Se  0.000  0.000  0.500
Se  0.000  0.500  0.750
Se  0.500  0.000  0.250
Se  0.500  0.500  0.000

Calculated values
ΔE to the lowest computed polymorph = 542 meV per atom
total energy = -6.747 eV per atom
space group = I-42d
V = 22.4 A^3/atom